# 1
Here is a relaxed BaTl2Pd5 crystal from Alexandria via LeMat-Bulk. Energies are from PBE-GGA.

Cell lengths 4.2274, 7.2999, 11.4093 Å; angles 90.00, 90.00, 90.00 degrees
Closest atoms and distances in Å follow each position.
Space group Immm (No. 71)
One atom of each set of equivalent atoms:
Ba  0.0000  0.0000  0.0000 [2 per cell]  10 Pd 3.39-3.65, 4 Tl 3.64
Tl  0.0000  0.5000  0.2400 [4 per cell]  7 Pd 2.74-2.86
Pd  0.0000  0.1908  0.3773 [8 per cell]  3 Tl 2.75-2.86, 4 Pd 2.79-2.89
Pd  0.0000  0.5000  0.0000 [2 per cell]  2 Tl 2.74, 8 Pd 2.89

Results
Size of the total moment   0.0 μB per formula unit
Energy of formation   -28.5 kJ/mol of atoms


# 2
Here is a relaxed Sn5Hg2Pb4 crystal from Alexandria via LeMat-Bulk. Energies are from PBE-GGA.

Cell lengths 8.3447, 3.4005, 11.2167 Å; angles 90.00, 92.84, 90.00 degrees
Closest atoms and distances in Å follow each position.
Space group P2/m (No. 10)
One atom of each set of equivalent atoms:
Sn  0.0000  0.0000  0.0000 [1 per cell]  6 Sn 3.23-3.40, 4 Pb 3.41
Sn  0.0755  0.0000  0.2857 [2 per cell]  1 Hg 3.15, 4 Sn 3.23-3.40, 2 Pb 3.43
Sn  0.2943  0.0000  0.8204 [2 per cell]  1 Hg 3.09, 4 Sn 3.25-3.40
Hg  0.4429  0.0000  0.3648 [2 per cell]  2 Sn 3.09-3.15, 3 Hg 3.13-3.40, 2 Pb 3.46
Pb  0.1977  0.5000  0.5534 [2 per cell]  3 Pb 3.40-3.45, 6 Sn 3.43-3.56, 4 Hg 3.46-3.53
Pb  0.3372  0.5000  0.0949 [2 per cell]  3 Pb 3.40-3.53, 8 Sn 3.41-3.60, 2 Hg 3.55

Results
Size of the total moment   0.0 μB per formula unit
Energy of formation   4.1 kJ/mol of atoms


# 3
Here is a relaxed Li3Pb5I12 crystal from Alexandria via LeMat-Bulk. Energies are from PBE-GGA.

Cell lengths 19.1459, 19.1459, 19.1459 Å; angles 90.00, 90.00, 90.00 degrees
Closest atoms and distances in Å follow each position.
Space group Ia-3d (No. 230)
One atom of each set of equivalent atoms:
Li  0.0000  0.2500  0.1250 [24 per cell]  4 I 2.81
Pb  0.0000  0.0000  0.0000 [16 per cell]  6 I 3.24
Pb  0.0000  0.2500  0.3750 [24 per cell]  4 I 3.36
I  0.0184  0.0483  0.3388 [96 per cell]  1 Li 2.81

Results
Size of the total moment   0.9 μB per formula unit
E_form (uncorrected)   -0.6315 eV/atom


# 4
Here is a relaxed Rb3YIn crystal from Alexandria via LeMat-Bulk. Energies are from PBE-GGA.

Cell lengths 7.2801, 7.2801, 7.2801 Å; angles 90.00, 90.00, 90.00 degrees
Closest atoms and distances in Å follow each position.
Space group Pm-3m (No. 221)
One atom of each set of equivalent atoms:
Rb  0.0000  0.0000  0.5000 [3 per cell]  2 Y 3.64
Y  0.0000  0.0000  0.0000 [1 per cell]  6 Rb 3.64
In  0.5000  0.5000  0.5000 [1 per cell]  12 Rb 5.15

Results
Relative energy among the computed polymorphs   260 meV/atom
Size of the total moment   3.6 μB per formula unit
Energy of formation   93.8 kJ/mol of atoms


Number 1: uncorrected energy -34.99 eV per formula unit. Number 2: uncorrected energy -34.98 eV per formula unit. Number 3: uncorrected energy -55.51 eV per formula unit. Number 4: uncorrected energy -7.24 eV per formula unit.